# Tl12Sb5Te3

Tl12Sb5Te3 after structural relaxation (PBE, Alexandria via LeMat-Bulk).

a = 16.033 Å, b = 16.033 Å, c = 16.033 Å
α = 109.47°, β = 109.47°, γ = 109.47°
Atoms (fractional coordinates):
Tl  0.583  0.722  0.668
Tl  0.946  0.585  0.168
Te  0.375  0.625  0.250
Tl  0.415  0.361  0.583
Tl  0.778  0.332  0.917
Te  0.625  0.375  0.750
Tl  0.446  0.668  0.085
Tl  0.915  0.083  0.861
Te  0.625  0.250  0.375
Sb  0.125  0.375  0.250
Sb  0.250  0.875  0.125
Tl  0.332  0.778  0.417
Sb  0.375  0.125  0.750
Tl  0.417  0.139  0.585
Tl  0.554  0.332  0.915
Sb  0.750  0.625  0.375
Te  0.750  0.375  0.125
Tl  0.054  0.639  0.722
Tl  0.917  0.085  0.639
Tl  0.668  0.222  0.583
Te  0.750  0.875  0.625
Sb  0.500  0.000  0.000
Sb  0.500  0.000  0.500
Te  0.250  0.625  0.875
Tl  0.361  0.415  0.083
Te  0.875  0.125  0.250
Tl  0.554  0.222  0.139
Sb  0.000  0.500  0.000
Tl  0.832  0.917  0.278
Tl  0.832  0.915  0.054
Tl  0.778  0.446  0.361
Sb  0.500  0.500  0.500
Tl  0.222  0.668  0.083
Te  0.125  0.875  0.750
Tl  0.168  0.085  0.946
Tl  0.639  0.585  0.917
Sb  0.000  0.000  0.000
Tl  0.722  0.139  0.054
Tl  0.168  0.083  0.722
Sb  0.000  0.000  0.500
Tl  0.222  0.554  0.639
Tl  0.085  0.917  0.139
Tl  0.722  0.583  0.168
Sb  0.875  0.625  0.750
Tl  0.278  0.861  0.946
Tl  0.278  0.417  0.832
Tl  0.585  0.946  0.668
Tl  0.861  0.278  0.446
Tl  0.139  0.417  0.085
Te  0.125  0.250  0.875
Sb  0.750  0.125  0.875
Tl  0.083  0.168  0.222
Te  0.375  0.750  0.625
Tl  0.139  0.722  0.554
Sb  0.625  0.875  0.250
Tl  0.639  0.054  0.222
Tl  0.668  0.446  0.585
Te  0.250  0.125  0.375
Tl  0.446  0.778  0.861
Sb  0.625  0.750  0.875
Sb  0.250  0.375  0.625
Tl  0.861  0.583  0.915
Tl  0.915  0.832  0.554
Sb  0.125  0.750  0.375
Tl  0.361  0.946  0.778
Tl  0.054  0.415  0.832
Tl  0.946  0.361  0.278
Tl  0.585  0.639  0.417
Tl  0.415  0.054  0.332
Tl  0.417  0.278  0.332
Sb  0.500  0.500  0.000
Tl  0.332  0.554  0.415
Tl  0.917  0.832  0.778
Sb  0.375  0.250  0.125
Tl  0.583  0.861  0.415
Tl  0.083  0.915  0.361
Te  0.875  0.750  0.125
Tl  0.085  0.168  0.446
Sb  0.875  0.250  0.625
Sb  0.000  0.500  0.500

Results
Final energy: -0.105 hartree per atom
Fermi-level density of states: 0.65 states/eV per atom

---

# Tl6SbTe4

Tl6SbTe4 after structural relaxation (PBE, Alexandria via LeMat-Bulk).

a = 7.756 Å, b = 11.237 Å, c = 11.237 Å
α = 120.00°, β = 90.00°, γ = 90.00°
Atoms (fractional coordinates):
Tl  0.438  0.683  0.841
Tl  0.126  0.059  0.529
Tl  0.126  0.471  0.529
Te  0.367  0.360  0.180
Sb  0.311  0.667  0.333
Tl  0.938  0.841  0.159
Te  0.867  0.640  0.820
Sb  0.811  0.333  0.667
Tl  0.938  0.841  0.683
Tl  0.626  0.529  0.471
Tl  0.126  0.471  0.941
Te  0.890  0.667  0.333
Te  0.367  0.820  0.180
Tl  0.438  0.159  0.317
Tl  0.626  0.941  0.471
Tl  0.938  0.317  0.159
Te  0.867  0.180  0.820
Tl  0.438  0.159  0.841
Te  0.367  0.820  0.640
Tl  0.626  0.529  0.059
Te  0.390  0.333  0.667
Te  0.867  0.180  0.360

Results
Final energy: -0.110 hartree per atom
Fermi-level density of states: 0.24 states/eV per atom

---

# Tl2SbTe

Tl2SbTe after structural relaxation (PBE, Alexandria via LeMat-Bulk).

a = 5.817 Å, b = 3.256 Å, c = 6.634 Å
α = 89.41°, β = 90.00°, γ = 90.00°
Atoms (fractional coordinates):
Te  0.500  0.636  0.713
Tl  0.500  0.314  0.232
Sb  0.000  0.604  0.535
Tl  0.000  0.945  0.020

Results
Energy above the lowest structure with this stoichiometry: 25.6 meV per atom
Final energy: -0.111 hartree per atom
Fermi-level density of states: 0.29 states/eV per atom

---

# Tl12Sb3Te5

Tl12Sb3Te5 after structural relaxation (PBE, Alexandria via LeMat-Bulk).

a = 16.167 Å, b = 16.167 Å, c = 16.167 Å
α = 109.47°, β = 109.47°, γ = 109.47°
Atoms (fractional coordinates):
Tl  0.854  0.272  0.439
Tl  0.439  0.666  0.085
Te  0.500  0.000  0.500
Tl  0.419  0.272  0.334
Sb  0.625  0.250  0.375
Tl  0.146  0.419  0.085
Tl  0.272  0.419  0.834
Tl  0.561  0.228  0.146
Tl  0.646  0.061  0.228
Te  0.000  0.500  0.000
Sb  0.125  0.875  0.750
Te  0.625  0.875  0.250
Tl  0.834  0.919  0.272
Tl  0.834  0.915  0.061
Tl  0.581  0.728  0.666
Tl  0.915  0.081  0.854
Tl  0.354  0.939  0.772
Sb  0.250  0.125  0.375
Tl  0.334  0.561  0.415
Tl  0.228  0.666  0.081
Tl  0.666  0.228  0.581
Tl  0.854  0.581  0.915
Te  0.250  0.375  0.625
Sb  0.375  0.625  0.250
Tl  0.666  0.439  0.585
Tl  0.915  0.834  0.561
Tl  0.728  0.581  0.166
Te  0.875  0.250  0.625
Tl  0.166  0.085  0.939
Tl  0.146  0.728  0.561
Sb  0.875  0.125  0.250
Sb  0.250  0.625  0.875
Sb  0.125  0.250  0.875
Sb  0.875  0.750  0.125
Te  0.500  0.000  0.000
Tl  0.585  0.646  0.419
Te  0.625  0.750  0.875
Tl  0.772  0.334  0.919
Tl  0.646  0.585  0.919
Tl  0.061  0.646  0.728
Tl  0.415  0.061  0.334
Sb  0.750  0.375  0.125
Tl  0.272  0.854  0.939
Te  0.250  0.875  0.125
Tl  0.939  0.354  0.272
Te  0.500  0.500  0.500
Sb  0.625  0.375  0.750
Tl  0.228  0.561  0.646
Tl  0.415  0.354  0.581
Tl  0.919  0.085  0.646
Tl  0.939  0.585  0.166
Tl  0.772  0.439  0.354
Te  0.000  0.000  0.500
Tl  0.334  0.772  0.419
Te  0.500  0.500  0.000
Tl  0.585  0.939  0.666
Tl  0.419  0.146  0.585
Tl  0.561  0.334  0.915
Sb  0.375  0.750  0.625
Tl  0.354  0.415  0.081
Tl  0.439  0.772  0.854
Tl  0.085  0.166  0.439
Tl  0.581  0.854  0.415
Te  0.000  0.000  0.000
Tl  0.061  0.415  0.834
Tl  0.919  0.834  0.772
Te  0.875  0.625  0.750
Tl  0.081  0.915  0.354
Te  0.000  0.500  0.500
Sb  0.750  0.875  0.625
Te  0.750  0.625  0.375
Te  0.375  0.125  0.750
Te  0.125  0.375  0.250
Tl  0.728  0.146  0.061
Tl  0.085  0.919  0.146
Te  0.750  0.125  0.875
Te  0.125  0.750  0.375
Te  0.375  0.250  0.125
Tl  0.081  0.166  0.228
Tl  0.166  0.081  0.728

Results
Final energy: -0.106 hartree per atom
Fermi-level density of states: 0.55 states/eV per atom